No. 1
! PBE-GGA FeAgOs, optimized geometry; values from VASP
! Distance to the lowest polymorph of the same formula (meV/atom): 0
&SYSTEM
  ibrav = 0, nat = 3, ntyp = 3
/
ATOMIC_SPECIES
Fe 55.84 Fe.upf
Ag 107.87 Ag.upf
Os 190.23 Os.upf
CELL_PARAMETERS angstrom
2.724 0.000 0.000
-1.362 2.359 0.000
0.000 0.000 6.816
ATOMIC_POSITIONS angstrom
Fe 0.000 0.000 0.000
Ag 0.000 1.573 4.491
Os 1.362 0.786 1.966

=====

No. 2
! PBE-GGA Pm3Sm4Dy, optimized geometry; values from VASP
! Distance to the lowest polymorph of the same formula (meV/atom): 127
&SYSTEM
  ibrav = 0, nat = 8, ntyp = 3
/
ATOMIC_SPECIES
Pm 145.00 Pm.upf
Sm 150.36 Sm.upf
Dy 162.50 Dy.upf
CELL_PARAMETERS angstrom
11.830 -1.753 0.000
11.830 1.753 0.000
-2.002 0.000 6.585
ATOMIC_POSITIONS angstrom
Pm 0.000 0.000 0.000
Pm 2.173 0.000 2.527
Pm 19.485 0.000 4.058
Sm 1.205 0.000 5.700
Sm 5.608 0.000 1.694
Sm 16.050 0.000 4.891
Sm 20.454 0.000 0.885
Dy 10.829 0.000 3.293

=====

No. 3
! PBE-GGA Ta2RePd2, optimized geometry; values from VASP
! Distance to the lowest polymorph of the same formula (meV/atom): 0
&SYSTEM
  ibrav = 0, nat = 10, ntyp = 3
/
ATOMIC_SPECIES
Ta 180.95 Ta.upf
Re 186.21 Re.upf
Pd 106.42 Pd.upf
CELL_PARAMETERS angstrom
7.730 0.000 0.000
0.000 7.730 0.000
0.000 0.000 2.784
ATOMIC_POSITIONS angstrom
Ta 1.380 2.485 0.000
Ta 2.485 6.350 0.000
Ta 5.245 1.380 0.000
Ta 6.350 5.245 0.000
Re 0.000 0.000 1.392
Re 3.865 3.865 1.392
Pd 0.933 4.799 1.392
Pd 2.932 0.933 1.392
Pd 4.799 6.797 1.392
Pd 6.797 2.932 1.392

=====

No. 4
! PBE-GGA HfSiP3, optimized geometry; values from VASP
! Distance to the lowest polymorph of the same formula (meV/atom): 265
! Formation energy from raw total energies (eV/atom): 0.69
&SYSTEM
  ibrav = 0, nat = 5, ntyp = 3
/
ATOMIC_SPECIES
Hf 178.49 Hf.upf
Si 28.09 Si.upf
P 30.97 P.upf
CELL_PARAMETERS angstrom
4.949 0.000 0.000
0.000 4.949 0.000
0.000 0.000 4.949
ATOMIC_POSITIONS angstrom
Hf 0.000 0.000 0.000
Si 2.474 2.474 2.474
P 0.000 0.000 2.474
P 0.000 2.474 0.000
P 2.474 0.000 0.000

=====

No. 5
! PBE-GGA Te5As, optimized geometry; values from VASP
! Distance to the lowest polymorph of the same formula (meV/atom): 113
! Formation energy from raw total energies (eV/atom): 0.16
&SYSTEM
  ibrav = 0, nat = 6, ntyp = 2
/
ATOMIC_SPECIES
Te 127.60 Te.upf
As 74.92 As.upf
CELL_PARAMETERS angstrom
5.973 -1.924 0.000
5.973 1.924 0.000
-0.436 0.000 8.788
ATOMIC_POSITIONS angstrom
Te 0.000 0.000 0.000
Te 2.130 0.000 1.730
Te 2.812 0.000 6.608
Te 6.495 0.000 3.739
Te 10.362 0.000 4.423
As 6.814 0.000 6.743

=====

No. 6
! PBE-GGA Rb3SrMo, optimized geometry; values from VASP
! Distance to the lowest polymorph of the same formula (meV/atom): 373
&SYSTEM
  ibrav = 0, nat = 5, ntyp = 3
/
ATOMIC_SPECIES
Rb 85.47 Rb.upf
Sr 87.62 Sr.upf
Mo 95.94 Mo.upf
CELL_PARAMETERS angstrom
8.064 0.000 0.000
0.000 8.064 0.000
0.000 0.000 8.064
ATOMIC_POSITIONS angstrom
Rb 0.000 0.000 4.032
Rb 0.000 4.032 0.000
Rb 4.032 0.000 0.000
Sr 0.000 0.000 0.000
Mo 4.032 4.032 4.032

=====

No. 7
! PBE-GGA Tm2MgRh2, optimized geometry; values from VASP
! Total energy (eV per atom): -5.796
&SYSTEM
  ibrav = 0, nat = 10, ntyp = 3
/
ATOMIC_SPECIES
Tm 168.93 Tm.upf
Mg 24.30 Mg.upf
Rh 102.91 Rh.upf
CELL_PARAMETERS angstrom
5.140 -2.677 0.000
5.140 2.677 0.000
-2.483 0.000 7.464
ATOMIC_POSITIONS angstrom
Tm 1.513 1.866 6.342
Tm 5.043 1.866 4.855
Tm 2.755 -1.866 2.609
Tm 6.284 -1.866 1.123
Mg 4.519 0.785 1.866
Mg 3.278 -0.785 5.598
Rh 2.547 0.816 3.636
Rh 6.492 0.816 0.097
Rh 1.306 -0.816 7.368
Rh 5.250 -0.816 3.829

=====

No. 8
! PBE-GGA Be3Zn5, optimized geometry; values from VASP
! Distance to the lowest polymorph of the same formula (meV/atom): 0
&SYSTEM
  ibrav = 0, nat = 16, ntyp = 2
/
ATOMIC_SPECIES
Be 9.01 Be.upf
Zn 65.41 Zn.upf
CELL_PARAMETERS angstrom
4.912 0.000 0.000
1.990 6.300 0.000
1.962 -0.176 6.317
ATOMIC_POSITIONS angstrom
Be 1.508 2.043 2.624
Be 2.219 2.843 0.301
Be 2.906 0.511 1.048
Be 5.957 5.613 5.268
Be 6.644 3.281 6.016
Be 7.355 4.081 3.692
Zn 0.582 1.071 0.566
Zn 3.076 1.851 4.517
Zn 4.197 5.960 3.401
Zn 3.339 4.908 1.164
Zn 3.850 2.531 2.068
Zn 5.013 3.593 4.249
Zn 5.524 1.216 5.153
Zn 4.666 0.164 2.916
Zn 5.787 4.273 1.800
Zn 8.281 5.053 5.751

=====

No. 9
! PBE-GGA PaCl3, optimized geometry; values from VASP
! Formation energy from raw total energies (eV/atom): -1.73
&SYSTEM
  ibrav = 0, nat = 8, ntyp = 2
/
ATOMIC_SPECIES
Pa 231.04 Pa.upf
Cl 35.45 Cl.upf
CELL_PARAMETERS angstrom
4.370 -8.099 0.000
4.370 8.099 0.000
0.000 0.000 3.698
ATOMIC_POSITIONS angstrom
Pa 4.370 4.301 2.774
Pa 4.370 -4.301 0.925
Cl 4.370 6.314 0.925
Cl 2.774 2.748 0.925
Cl 2.774 -2.748 2.774
Cl 5.967 2.748 0.925
Cl 5.967 -2.748 2.774
Cl 4.370 -6.314 2.774

=====

No. 10
! PBE-GGA Er6Si2Te3As, optimized geometry; values from VASP
! Formation energy from raw total energies (eV/atom): -1.22
&SYSTEM
  ibrav = 0, nat = 12, ntyp = 4
/
ATOMIC_SPECIES
Er 167.26 Er.upf
Si 28.09 Si.upf
Te 127.60 Te.upf
As 74.92 As.upf
CELL_PARAMETERS angstrom
9.245 -2.091 0.000
9.245 2.091 0.000
-2.149 0.000 8.242
ATOMIC_POSITIONS angstrom
Er -0.332 0.000 1.945
Er 5.093 0.000 3.587
Er 4.332 0.000 7.377
Er 12.009 0.000 0.866
Er 11.248 0.000 4.656
Er 16.673 0.000 6.298
Si 2.366 0.000 2.743
Si 13.975 0.000 5.499
Te 1.256 0.000 6.873
Te 8.171 0.000 4.121
Te 15.085 0.000 1.369
As 9.245 0.000 0.000

=====

What is the formula in the fifth record? Te5As